Material: RuW3
Method: DFT, PBE
State: optimized geometry

The structure belongs to space group C2/m (No. 12); the cell edges are 9.456, 2.773 and 4.881 Å and the angles 90.00°, 100.10° and 90.00°. Symmetry generates all atoms from Ru at (0.000, 0.000, 0.000), W at (0.000, 0.500, 0.500) and W at (0.240, 0.500, 0.241).

For the energy of formation, the calculation gives 0.24 eV per atom.

Material: Be2ZnOsRh
Method: DFT, PBE
State: optimized geometry

The structure belongs to space group P4/mmm (No. 123); the cell edges are 4.197, 4.197 and 4.764 Å and the angles 90.00°, 90.00° and 90.00°. Symmetry generates all atoms from Be at (0.000, 0.500, 0.000), Zn at (0.000, 0.000, 0.500), Os at (0.500, 0.500, 0.000) and Rh at (0.500, 0.500, 0.500).

For the energy of formation, the calculation gives 0.92 eV per atom.

Material: NbRhO4
Method: DFT, PBE
State: optimized geometry

The structure belongs to space group Cmmm (No. 65); the cell edges are 6.624, 6.706 and 3.138 Å and the angles 90.00°, 90.00° and 90.00°. Symmetry generates all atoms from Nb at (0.000, 0.000, 0.000), Rh at (0.000, 0.500, 0.500), O at (0.000, 0.194, 0.500) and O at (0.196, 0.500, 0.000).

Its uncorrected formation energy is -1713 meV/atom.

Material: WSe2Cl
Method: DFT, PBE
State: optimized geometry

The structure belongs to space group Pm (No. 6); the cell edges are 6.726, 3.257 and 6.735 Å and the angles 90.00°, 115.20° and 90.00°. Symmetry generates all atoms from W at (0.000, 0.000, 0.000), Se at (0.314, 0.000, 0.311), Se at (0.762, 0.500, 0.069) and Cl at (0.053, 0.500, 0.748).

The energy above the most stable polymorph in this dataset is 0.011 eV per atom. Its uncorrected formation energy is -314 meV/atom.

Material: MgCd3Ag
Method: DFT, PBE
State: optimized geometry

The structure belongs to space group Pm-3m (No. 221); the cell edges are 5.259, 5.259 and 5.259 Å and the angles 90.00°, 90.00° and 90.00°. Symmetry generates all atoms from Mg at (0.000, 0.000, 0.000), Cd at (0.000, 0.500, 0.500) and Ag at (0.500, 0.500, 0.500).

The energy above the most stable polymorph in this dataset is 0.365 eV per atom. For the energy of formation, the calculation gives 0.30 eV per atom.

Material: BaNdTh2Bi4
Method: DFT, PBE
State: optimized geometry

The structure belongs to space group I-4m2 (No. 119); the cell edges are 6.639, 6.639 and 13.313 Å and the angles 90.00°, 90.00° and 90.00°. Symmetry generates all atoms from Ba at (0.000, 0.000, 0.000), Nd at (0.000, 0.500, 0.750), Th at (0.000, 0.000, 0.500), Th at (0.000, 0.500, 0.250), Bi at (0.000, 0.000, 0.258) and Bi at (0.000, 0.500, 0.003).

For the energy of formation, the calculation gives -0.73 eV per atom.

Material: PmSnH6Ir2
Method: DFT, PBE
State: optimized geometry

The structure belongs to space group C2/c (No. 15); the cell edges are 7.101, 9.672 and 7.139 Å and the angles 90.00°, 112.12° and 90.00°. Symmetry generates all atoms from Pm at (0.000, 0.159, 0.250), Sn at (0.000, 0.389, 0.750), H at (0.066, 0.091, 0.929), H at (0.076, 0.360, 0.092), H at (0.206, 0.363, 0.420) and Ir at (0.188, 0.128, 0.746).

The calculation puts the calculated total energy at -4.883 eV/atom.

Material: ZrSbRu2
Method: DFT, PBE
State: optimized geometry

The structure belongs to space group P4mm (No. 99); the cell edges are 3.154, 3.154 and 7.276 Å and the angles 90.00°, 90.00° and 90.00°. Symmetry generates all atoms from Zr at (0.000, 0.000, 0.000), Sb at (0.500, 0.500, 0.675), Ru at (0.000, 0.000, 0.467) and Ru at (0.500, 0.500, 0.224).

Its uncorrected formation energy is -4 meV/atom.

Material: Te2MoBr
Method: DFT, PBE
State: optimized geometry

The structure belongs to space group I-42d (No. 122); the cell edges are 7.208, 7.208 and 11.113 Å and the angles 90.00°, 90.00° and 90.00°. Symmetry generates all atoms from Te at (0.169, 0.250, 0.125), Mo at (0.000, 0.000, 0.000) and Br at (0.000, 0.000, 0.500).

The energy above the most stable polymorph in this dataset is 0.349 eV per atom. Its uncorrected formation energy is 265 meV/atom.

Material: HfBe3N
Method: DFT, PBE
State: optimized geometry

The structure belongs to space group Pm-3m (No. 221); the cell edges are 4.981, 4.981 and 4.981 Å and the angles 90.00°, 90.00° and 90.00°. Symmetry generates all atoms from Hf at (0.000, 0.000, 0.000), Be at (0.000, 0.000, 0.500) and N at (0.500, 0.500, 0.500).

The energy above the most stable polymorph in this dataset is 2.555 eV per atom. Its uncorrected formation energy is 2857 meV/atom.

Material: HoZnSn2O6
Method: DFT, PBE
State: optimized geometry

The structure belongs to space group Pmn2_1 (No. 31); the cell edges are 8.109, 6.033 and 5.488 Å and the angles 90.00°, 90.00° and 90.00°. Symmetry generates all atoms from Ho at (0.000, 0.167, 0.000), Zn at (0.000, 0.877, 0.492), Sn at (0.245, 0.716, 0.974), O at (0.000, 0.247, 0.602), O at (0.000, 0.798, 0.836), O at (0.182, 0.957, 0.263) and O at (0.186, 0.414, 0.131).

Its uncorrected formation energy is -1927 meV/atom.

Material: Ca3Si2Ir2
Method: DFT, PBE
State: optimized geometry

The structure belongs to space group Pbcm (No. 57); the cell edges are 5.816, 7.686 and 13.359 Å and the angles 90.00°, 90.00° and 90.00°. Symmetry generates all atoms from Ca at (0.132, 0.112, 0.101), Ca at (0.367, 0.725, 0.750), Si at (0.166, 0.074, 0.750), Si at (0.422, 0.750, 0.000) and Ir at (0.362, 0.022, 0.591).

Its uncorrected formation energy is -741 meV/atom.

Material: BaNb2NiN4
Method: DFT, PBE
State: optimized geometry

The structure belongs to space group Cmcm (No. 63); the cell edges are 3.244, 11.486 and 11.139 Å and the angles 90.00°, 90.00° and 90.00°. Symmetry generates all atoms from Ba at (0.000, 0.112, 0.250), Nb at (0.000, 0.372, 0.069), Ni at (0.000, 0.161, 0.750), N at (0.000, 0.000, 0.000), N at (0.000, 0.244, 0.597) and N at (0.000, 0.434, 0.250).

Its uncorrected formation energy is -633 meV/atom.

Material: TaReS2Cl
Method: DFT, PBE
State: optimized geometry

The structure belongs to space group P4/mmm (No. 123); the cell edges are 4.835, 4.835 and 4.835 Å and the angles 90.00°, 90.00° and 90.00°. Symmetry generates all atoms from Ta at (0.000, 0.000, 0.000), Re at (0.500, 0.500, 0.500), S at (0.000, 0.500, 0.000) and Cl at (0.000, 0.000, 0.500).

The energy above the most stable polymorph in this dataset is 0.000 eV per atom. Its uncorrected formation energy is 723 meV/atom.

Material: PuPdPtRh
Method: DFT, PBE
State: optimized geometry

The structure belongs to space group Pmmm (No. 47); the cell edges are 4.033, 4.039 and 4.250 Å and the angles 90.00°, 90.00° and 90.00°. Symmetry generates all atoms from Pu at (0.000, 0.000, 0.000), Pd at (0.500, 0.000, 0.500), Pt at (0.000, 0.500, 0.500) and Rh at (0.500, 0.500, 0.000).

The energy above the most stable polymorph in this dataset is 0.000 eV per atom. For the energy of formation, the calculation gives -0.57 eV per atom.

Material: LaPr2Sm12
Method: DFT, PBE
State: optimized geometry

The structure belongs to space group Cmme (No. 67); the cell edges are 7.174, 11.593 and 25.254 Å and the angles 90.00°, 90.00° and 90.00°. Symmetry generates all atoms from La at (0.000, 0.250, 0.001), Pr at (0.000, 0.250, 0.275), Pr at (0.000, 0.250, 0.732), Sm at (0.000, 0.003, 0.922), Sm at (0.000, 0.023, 0.441), Sm at (0.231, 0.250, 0.582), Sm at (0.248, 0.250, 0.130), Sm at (0.250, 0.000, 0.201) and Sm at (0.250, 0.000, 0.328).

For the energy of formation, the calculation gives 0.15 eV per atom.

Material: Na2CuAgBr4
Method: DFT, PBE
State: optimized geometry

The structure belongs to space group Pmn2_1 (No. 31); the cell edges are 8.924, 7.686 and 7.291 Å and the angles 90.00°, 90.00° and 90.00°. Symmetry generates all atoms from Na at (0.249, 0.186, 0.000), Cu at (0.000, 0.669, 0.992), Ag at (0.000, 0.330, 0.485), Br at (0.000, 0.373, 0.860), Br at (0.000, 0.656, 0.331) and Br at (0.233, 0.824, 0.894).

Its uncorrected formation energy is -892 meV/atom.

Material: U3Pt
Method: DFT, PBE
State: optimized geometry

The structure belongs to space group Imm2 (No. 44); the cell edges are 2.850, 10.553 and 5.274 Å and the angles 90.00°, 90.00° and 90.00°. Symmetry generates all atoms from U at (0.000, 0.000, 0.000), U at (0.000, 0.228, 0.791) and Pt at (0.000, 0.500, 0.984).

For the energy of formation, the calculation gives -0.19 eV per atom.

Material: Pm5Sm6Sc
Method: DFT, PBE
State: optimized geometry

The structure belongs to space group C2/m (No. 12); the cell edges are 16.111, 10.199 and 5.111 Å and the angles 90.00°, 108.45° and 90.00°. Symmetry generates all atoms from Pm at (0.000, 0.000, 0.000), Pm at (0.165, 0.500, 0.665), Pm at (0.166, 0.000, 0.666), Sm at (0.000, 0.255, 0.500), Sm at (0.165, 0.253, 0.165) and Sc at (0.000, 0.500, 0.000).

For the energy of formation, the calculation gives 0.03 eV per atom.

Material: CdF
Method: DFT, PBE
State: optimized geometry

The structure belongs to space group Fm-3m (No. 225); the cell edges are 5.184, 5.184 and 5.184 Å and the angles 90.00°, 90.00° and 90.00°. Symmetry generates all atoms from Cd at (0.000, 0.000, 0.000) and F at (0.000, 0.000, 0.500).

Its uncorrected formation energy is -1266 meV/atom.

| no. | V (A^3/atom) |
| --- | --- |
| 1 | 15.7 |
| 2 | 16.8 |
| 3 | 11.6 |
| 4 | 33.4 |
| 5 | 29.1 |
| 6 | 36.7 |
| 7 | 11.4 |
| 8 | 18.1 |
| 9 | 36.1 |
| 10 | 24.7 |
| 11 | 13.4 |
| 12 | 21.3 |
| 13 | 13.0 |
| 14 | 22.6 |
| 15 | 17.3 |
| 16 | 35.0 |
| 17 | 31.3 |
| 18 | 19.8 |
| 19 | 33.2 |
| 20 | 17.4 |